[1]
Compound: Ac4GeP3
Source: Alexandria via LeMat-Bulk
Functional: PBE
Structure: relaxed

abc: 6.342 6.342 6.342
angles: 90.00 90.00 90.00
Fractional positions:
Ac1 0.000 0.000 0.000
Ac2 0.000 0.500 0.500
Ac3 0.500 0.000 0.500
Ac4 0.500 0.500 0.000
Ge1 0.500 0.500 0.500
P1 0.000 0.000 0.500
P2 0.000 0.500 0.000
P3 0.500 0.000 0.000

Calculated values
**ΔH_f (0 K)**: -1212 meV/atom
**VASP energy**: -0.43155 Ry/atom
**Volume**: 31.88 Å³/atom
**M_tot**: 0.0 μB per formula unit
**Density of states at the Fermi level**: 6.2 states/eV/cell

[2]
Compound: Ac4Ge2P
Source: Alexandria via LeMat-Bulk
Functional: PBE
Structure: relaxed

abc: 9.213 9.213 9.213
angles: 144.31 144.31 51.36
Fractional positions:
Ac1 0.000 0.500 0.500
Ac2 0.184 0.184 0.000
Ac3 0.500 0.000 0.500
Ac4 0.816 0.816 0.000
Ge1 0.374 0.374 0.000
Ge2 0.626 0.626 0.000
P1 0.000 0.000 0.000

Calculated values
**ΔH_f (0 K)**: -520 meV/atom
**VASP energy**: -0.36456 Ry/atom
**Volume**: 37.81 Å³/atom
**M_tot**: 0.0 μB per formula unit
**Density of states at the Fermi level**: 4.4 states/eV/cell

[3]
Compound: Ac2GeP
Source: Alexandria via LeMat-Bulk
Functional: PBE
Structure: relaxed

abc: 5.437 5.437 5.437
angles: 60.00 60.00 60.00
Fractional positions:
Ac1 0.250 0.250 0.250
Ac2 0.750 0.750 0.750
Ge1 0.000 0.000 0.000
P1 0.500 0.500 0.500

Calculated values
**ΔH_f (0 K)**: -708 meV/atom
**VASP energy**: -0.38726 Ry/atom
**Excess energy over the best structure of this formula in the dataset**: 379 meV per atom
**Volume**: 28.41 Å³/atom
**M_tot**: 0.0 μB per formula unit
**Density of states at the Fermi level**: 5.7 states/eV/cell

[4]
Compound: AcGe2P
Source: Alexandria via LeMat-Bulk
Functional: PBE
Structure: relaxed

abc: 4.377 4.377 4.818
angles: 90.00 90.00 90.00
Fractional positions:
Ac1 0.000 0.000 0.000
Ge1 0.000 0.500 0.500
Ge2 0.500 0.000 0.500
P1 0.500 0.500 0.000

Calculated values
**ΔH_f (0 K)**: -340 meV/atom
**VASP energy**: -0.36958 Ry/atom
**Excess energy over the best structure of this formula in the dataset**: 0 meV per atom
**Volume**: 23.07 Å³/atom
**M_tot**: 0.0 μB per formula unit
**Density of states at the Fermi level**: 2.5 states/eV/cell

[5]
Compound: Ac2GeP
Source: Alexandria via LeMat-Bulk
Functional: PBE
Structure: relaxed

abc: 3.742 3.742 8.035
angles: 90.00 90.00 90.00
Fractional positions:
Ac1 0.000 0.000 0.228
Ac2 0.000 0.000 0.772
Ge1 0.500 0.500 0.500
P1 0.500 0.500 0.000

Calculated values
**ΔH_f (0 K)**: -830 meV/atom
**VASP energy**: -0.39626 Ry/atom
**Excess energy over the best structure of this formula in the dataset**: 256 meV per atom
**Volume**: 28.12 Å³/atom
**M_tot**: 0.0 μB per formula unit
**Density of states at the Fermi level**: 1.5 states/eV/cell

[6]
Compound: Ac2GeP
Source: Alexandria via LeMat-Bulk
Functional: PBE
Structure: relaxed

abc: 12.702 12.702 4.346
angles: 90.00 90.00 159.26
Fractional positions:
Ac1 0.068 0.932 0.750
Ac2 0.310 0.690 0.750
Ac3 0.690 0.310 0.250
Ac4 0.932 0.068 0.250
Ge1 0.465 0.535 0.750
Ge2 0.535 0.465 0.250
P1 0.188 0.812 0.750
P2 0.812 0.188 0.250

Calculated values
**ΔH_f (0 K)**: -1086 meV/atom
**VASP energy**: -0.41508 Ry/atom
**Excess energy over the best structure of this formula in the dataset**: 0 meV per atom
**Volume**: 31.04 Å³/atom
**M_tot**: 0.0 μB per formula unit
**Density of states at the Fermi level**: 4.5 states/eV/cell

[7]
Compound: Ac2GeP
Source: Alexandria via LeMat-Bulk
Functional: PBE
Structure: relaxed

abc: 8.154 8.154 8.154
angles: 31.41 31.41 31.41
Fractional positions:
Ac1 0.244 0.244 0.244
Ac2 0.756 0.756 0.756
Ge1 0.000 0.000 0.000
P1 0.500 0.500 0.500

Calculated values
**ΔH_f (0 K)**: -985 meV/atom
**VASP energy**: -0.40760 Ry/atom
**Excess energy over the best structure of this formula in the dataset**: 102 meV per atom
**Volume**: 32.68 Å³/atom
**M_tot**: 0.0 μB per formula unit
**Density of states at the Fermi level**: 2.3 states/eV/cell

[8]
Compound: Ac5GeP4
Source: Alexandria via LeMat-Bulk
Functional: PBE
Structure: relaxed

abc: 7.758 7.758 7.758
angles: 99.50 99.50 132.07
Fractional positions:
Ac1 0.000 0.000 0.000
Ac2 0.193 0.605 0.797
Ac3 0.395 0.193 0.588
Ac4 0.605 0.807 0.412
Ac5 0.807 0.395 0.203
Ge1 0.500 0.500 0.000
P1 0.100 0.301 0.401
P2 0.301 0.900 0.201
P3 0.699 0.100 0.799
P4 0.900 0.699 0.599

Calculated values
**ΔH_f (0 K)**: -1260 meV/atom
**VASP energy**: -0.43659 Ry/atom
**Volume**: 31.68 Å³/atom
**M_tot**: 0.0 μB per formula unit
**Density of states at the Fermi level**: 7.2 states/eV/cell

[9]
Compound: Ac7GeP5
Source: Alexandria via LeMat-Bulk
Functional: PBE
Structure: relaxed

abc: 7.614 7.614 26.220
angles: 90.00 90.00 146.05
Fractional positions:
Ac1 0.046 0.954 0.750
Ac2 0.137 0.863 0.035
Ac3 0.137 0.863 0.465
Ac4 0.317 0.683 0.676
Ac5 0.317 0.683 0.824
Ac6 0.412 0.588 0.106
Ac7 0.412 0.588 0.394
Ac8 0.588 0.412 0.606
Ac9 0.588 0.412 0.894
Ac10 0.683 0.317 0.176
Ac11 0.683 0.317 0.324
Ac12 0.863 0.137 0.535
Ac13 0.863 0.137 0.965
Ac14 0.954 0.046 0.250
Ge1 0.297 0.703 0.250
Ge2 0.703 0.297 0.750
P1 0.046 0.954 0.145
P2 0.046 0.954 0.355
P3 0.227 0.773 0.574
P4 0.227 0.773 0.926
P5 0.500 0.500 0.000
P6 0.500 0.500 0.500
P7 0.773 0.227 0.074
P8 0.773 0.227 0.426
P9 0.954 0.046 0.645
P10 0.954 0.046 0.855

Calculated values
**ΔH_f (0 K)**: -1260 meV/atom
**VASP energy**: -0.43426 Ry/atom
**Volume**: 32.65 Å³/atom
**M_tot**: 0.6 μB per formula unit
**Density of states at the Fermi level**: 11.2 states/eV/cell

[10]
Compound: Ac8GeP5
Source: Alexandria via LeMat-Bulk
Functional: PBE
Structure: relaxed

abc: 8.176 8.176 8.176
angles: 109.31 109.31 109.79
Fractional positions:
Ac1 0.127 0.747 0.753
Ac2 0.134 0.253 0.762
Ac3 0.253 0.005 0.380
Ac4 0.491 0.373 0.238
Ac5 0.626 0.873 0.620
Ac6 0.627 0.866 0.118
Ac7 0.747 0.509 0.882
Ac8 0.995 0.374 0.247
Ge1 0.750 0.250 0.500
P1 0.000 0.000 0.000
P2 0.248 0.630 0.127
P3 0.370 0.497 0.618
P4 0.503 0.121 0.873
P5 0.879 0.752 0.382

Calculated values
**ΔH_f (0 K)**: -1076 meV/atom
**VASP energy**: -0.41788 Ry/atom
**Volume**: 30.06 Å³/atom
**M_tot**: 0.0 μB per formula unit
**Density of states at the Fermi level**: 15.7 states/eV/cell

[11]
Compound: Ac6GeP4
Source: Alexandria via LeMat-Bulk
Functional: PBE
Structure: relaxed

abc: 7.586 7.586 22.447
angles: 90.00 90.00 145.90
Fractional positions:
Ac1 0.000 0.000 0.000
Ac2 0.000 0.000 0.500
Ac3 0.181 0.819 0.750
Ac4 0.275 0.725 0.082
Ac5 0.275 0.725 0.418
Ac6 0.452 0.548 0.663
Ac7 0.452 0.548 0.837
Ac8 0.548 0.452 0.163
Ac9 0.548 0.452 0.337
Ac10 0.725 0.275 0.582
Ac11 0.725 0.275 0.918
Ac12 0.819 0.181 0.250
Ge1 0.161 0.839 0.250
Ge2 0.839 0.161 0.750
P1 0.090 0.910 0.627
P2 0.090 0.910 0.873
P3 0.362 0.638 0.542
P4 0.362 0.638 0.958
P5 0.638 0.362 0.042
P6 0.638 0.362 0.458
P7 0.910 0.090 0.127
P8 0.910 0.090 0.373

Calculated values
**ΔH_f (0 K)**: -1216 meV/atom
**VASP energy**: -0.42955 Ry/atom
**Volume**: 32.92 Å³/atom
**M_tot**: 0.6 μB per formula unit
**Density of states at the Fermi level**: 11.1 states/eV/cell

[12]
Compound: Ac2GePPd6
Source: Alexandria via LeMat-Bulk
Functional: PBE
Structure: relaxed

abc: 6.480 6.480 6.885
angles: 117.91 117.91 60.07
Fractional positions:
Ac1 0.228 0.228 0.183
Ac2 0.772 0.772 0.817
Ge1 0.500 0.500 0.000
P1 0.000 0.000 0.500
Pd1 0.244 0.244 0.680
Pd2 0.244 0.687 0.676
Pd3 0.313 0.756 0.324
Pd4 0.687 0.244 0.676
Pd5 0.756 0.313 0.324
Pd6 0.756 0.756 0.320

Calculated values
**ΔH_f (0 K)**: -787 meV/atom
**VASP energy**: -0.42090 Ry/atom
**Volume**: 21.07 Å³/atom
**M_tot**: 0.0 μB per formula unit
**Density of states at the Fermi level**: 5.2 states/eV/cell

[13]
Compound: Ac3GeP2Pd9
Source: Alexandria via LeMat-Bulk
Functional: PBE
Structure: relaxed

abc: 6.502 6.502 8.676
angles: 90.00 90.00 120.00
Fractional positions:
Ac1 0.000 0.000 0.000
Ac2 0.333 0.667 0.643
Ac3 0.667 0.333 0.357
Ge1 0.000 0.000 0.500
P1 0.333 0.667 0.168
P2 0.667 0.333 0.832
Pd1 0.000 0.500 0.000
Pd2 0.153 0.307 0.293
Pd3 0.153 0.847 0.293
Pd4 0.307 0.153 0.707
Pd5 0.500 0.000 0.000
Pd6 0.500 0.500 0.000
Pd7 0.693 0.847 0.293
Pd8 0.847 0.153 0.707
Pd9 0.847 0.693 0.707

Calculated values
**ΔH_f (0 K)**: -764 meV/atom
**VASP energy**: -0.42122 Ry/atom
**Volume**: 21.17 Å³/atom
**M_tot**: 0.0 μB per formula unit
**Density of states at the Fermi level**: 4.2 states/eV/cell

[14]
Compound: AcPmGeP
Source: Alexandria via LeMat-Bulk
Functional: PBE
Structure: relaxed

abc: 5.282 5.282 5.282
angles: 60.00 60.00 60.00
Fractional positions:
Ac1 0.000 0.000 0.000
Pm1 0.500 0.500 0.500
Ge1 0.750 0.750 0.750
P1 0.250 0.250 0.250

Calculated values
**ΔH_f (0 K)**: -709 meV/atom
**VASP energy**: -0.39915 Ry/atom
**Volume**: 26.05 Å³/atom
**M_tot**: 0.0 μB per formula unit
**Density of states at the Fermi level**: 4.1 states/eV/cell

[15]
Compound: Ac2Ge3PPt4
Source: Alexandria via LeMat-Bulk
Functional: PBE
Structure: relaxed

abc: 4.528 4.528 9.918
angles: 90.00 90.00 90.00
Fractional positions:
Ac1 0.000 0.500 0.243
Ac2 0.500 0.000 0.757
Ge1 0.000 0.000 0.000
Ge2 0.000 0.500 0.627
Ge3 0.500 0.000 0.373
P1 0.500 0.500 0.000
Pt1 0.000 0.000 0.500
Pt2 0.000 0.500 0.888
Pt3 0.500 0.000 0.112
Pt4 0.500 0.500 0.500

Calculated values
**ΔH_f (0 K)**: -947 meV/atom
**VASP energy**: -0.44916 Ry/atom
**Volume**: 20.33 Å³/atom
**M_tot**: 0.0 μB per formula unit
**Density of states at the Fermi level**: 7.5 states/eV/cell

[16]
Compound: Ac3GeP2Pt8
Source: Alexandria via LeMat-Bulk
Functional: PBE
Structure: relaxed

abc: 5.671 5.671 10.221
angles: 90.00 90.00 120.00
Fractional positions:
Ac1 0.000 0.000 0.000
Ac2 0.333 0.667 0.582
Ac3 0.667 0.333 0.418
Ge1 0.000 0.000 0.500
P1 0.333 0.667 0.119
P2 0.667 0.333 0.881
Pt1 0.166 0.331 0.280
Pt2 0.166 0.834 0.280
Pt3 0.331 0.166 0.720
Pt4 0.333 0.667 0.899
Pt5 0.667 0.333 0.101
Pt6 0.669 0.834 0.280
Pt7 0.834 0.166 0.720
Pt8 0.834 0.669 0.720

Calculated values
**ΔH_f (0 K)**: -831 meV/atom
**VASP energy**: -0.46050 Ry/atom
**Volume**: 20.33 Å³/atom
**M_tot**: 0.0 μB per formula unit
**Density of states at the Fermi level**: 5.0 states/eV/cell

[17]
Compound: Ac2GePPt6
Source: Alexandria via LeMat-Bulk
Functional: PBE
Structure: relaxed

abc: 6.848 6.848 6.848
angles: 128.81 122.18 80.83
Fractional positions:
Ac1 0.000 0.000 0.000
Ac2 0.466 0.466 0.000
Ge1 0.309 0.809 0.500
P1 0.841 0.341 0.500
Pt1 0.062 0.562 0.500
Pt2 0.512 0.483 0.542
Pt3 0.512 0.969 0.028
Pt4 0.540 0.040 0.500
Pt5 0.941 0.483 0.972
Pt6 0.941 0.969 0.458

Calculated values
**ΔH_f (0 K)**: -981 meV/atom
**VASP energy**: -0.47261 Ry/atom
**Volume**: 20.43 Å³/atom
**M_tot**: 0.0 μB per formula unit
**Density of states at the Fermi level**: 3.0 states/eV/cell

[18]
Compound: AcGePRh3
Source: Alexandria via LeMat-Bulk
Functional: PBE
Structure: relaxed

abc: 7.752 7.752 5.825
angles: 90.00 90.00 135.93
Fractional positions:
Ac1 0.239 0.761 0.750
Ac2 0.761 0.239 0.250
Ge1 0.094 0.906 0.250
Ge2 0.906 0.094 0.750
P1 0.421 0.579 0.250
P2 0.579 0.421 0.750
Rh1 0.256 0.256 0.000
Rh2 0.256 0.256 0.500
Rh3 0.263 0.737 0.250
Rh4 0.737 0.263 0.750
Rh5 0.744 0.744 0.000
Rh6 0.744 0.744 0.500

Calculated values
**ΔH_f (0 K)**: -830 meV/atom
**VASP energy**: -0.50430 Ry/atom
**Volume**: 20.29 Å³/atom
**M_tot**: 0.0 μB per formula unit
**Density of states at the Fermi level**: 3.2 states/eV/cell

[19]
Compound: AcGe2PRu2
Source: Alexandria via LeMat-Bulk
Functional: PBE
Structure: relaxed

abc: 4.502 4.502 5.856
angles: 90.00 90.00 90.00
Fractional positions:
Ac1 0.000 0.000 0.000
Ge1 0.500 0.500 0.234
Ge2 0.500 0.500 0.766
P1 0.000 0.000 0.500
Ru1 0.000 0.500 0.500
Ru2 0.500 0.000 0.500

Calculated values
**ΔH_f (0 K)**: -381 meV/atom
**VASP energy**: -0.48495 Ry/atom
**Volume**: 19.78 Å³/atom
**M_tot**: 0.9 μB per formula unit
**Density of states at the Fermi level**: 5.5 states/eV/cell

[20]
Compound: Ac2GePRu
Source: Alexandria via LeMat-Bulk
Functional: PBE
Structure: relaxed

abc: 4.286 4.286 15.112
angles: 90.00 90.00 90.00
Fractional positions:
Ac1 0.250 0.250 0.099
Ac2 0.250 0.250 0.663
Ac3 0.750 0.750 0.337
Ac4 0.750 0.750 0.901
Ge1 0.250 0.250 0.871
Ge2 0.750 0.750 0.129
P1 0.250 0.250 0.422
P2 0.750 0.750 0.578
Ru1 0.250 0.750 0.500
Ru2 0.750 0.250 0.500

Calculated values
**ΔH_f (0 K)**: -729 meV/atom
**VASP energy**: -0.45810 Ry/atom
**Volume**: 27.76 Å³/atom
**M_tot**: 0.0 μB per formula unit
**Density of states at the Fermi level**: 8.5 states/eV/cell

[21]
Compound: Ac4GeP2S
Source: Alexandria via LeMat-Bulk
Functional: PBE
Structure: relaxed

abc: 7.720 4.447 7.753
angles: 90.00 109.33 90.00
Fractional positions:
Ac1 0.246 0.000 0.243
Ac2 0.253 0.500 0.756
Ac3 0.747 0.500 0.244
Ac4 0.754 0.000 0.757
Ge1 0.000 0.000 0.500
P1 0.000 0.500 0.000
P2 0.500 0.000 0.000
S1 0.500 0.500 0.500

Calculated values
**VASP energy**: -0.43636 Ry/atom
**ΔE_f (raw)**: -1.44 eV per atom
**Volume**: 31.39 Å³/atom
**M_tot**: 0.0 μB per formula unit
**Density of states at the Fermi level**: 1.5 states/eV/cell

[22]
Compound: Ac8GeP3S4
Source: Alexandria via LeMat-Bulk
Functional: PBE
Structure: relaxed

abc: 8.800 8.800 8.800
angles: 60.31 60.31 60.31
Fractional positions:
Ac1 0.247 0.749 0.749
Ac2 0.248 0.248 0.248
Ac3 0.251 0.251 0.753
Ac4 0.251 0.753 0.251
Ac5 0.749 0.247 0.749
Ac6 0.749 0.749 0.247
Ac7 0.752 0.752 0.752
Ac8 0.753 0.251 0.251
Ge1 0.500 0.500 0.500
P1 0.000 0.000 0.500
P2 0.000 0.500 0.000
P3 0.500 0.000 0.000
S1 0.000 0.000 0.000
S2 0.000 0.500 0.500
S3 0.500 0.000 0.500
S4 0.500 0.500 0.000

Calculated values
**VASP energy**: -0.44794 Ry/atom
**ΔE_f (raw)**: -1.71 eV per atom
**Volume**: 30.32 Å³/atom
**M_tot**: 0.0 μB per formula unit
**Density of states at the Fermi level**: 2.4 states/eV/cell